(1)
The following is a DFT calculation (PBE) of a relaxed Cs2K6Rb9 crystal.

It has space group P6/mmm (No. 191), with a = 9.2970 Å, b = 9.2970 Å, c = 23.4726 Å, α = 90.00°, β = 90.00° and γ = 120.00°. The inequivalent atoms are Cs at (0.0000, 0.0000, 0.1620), K at (0.3333, 0.6667, 0.1659), K at (0.3333, 0.6667, 0.5000), Rb at (0.0000, 0.5000, 0.0000) and Rb at (0.0000, 0.5000, 0.3309).

The value obtained for the formation energy is 1.3 eV per formula unit. Its crystal system is hexagonal. Its size of the total moment is 0.000 μB per atom. The calculation puts the volume at 103.354 Å³ per atom.

(2)
The following is a DFT calculation (PBE) of a relaxed Cs7KRb4 crystal.

It has space group C2/m (No. 12), with a = 23.2689 Å, b = 8.8464 Å, c = 14.3802 Å, α = 90.00°, β = 119.56° and γ = 90.00°. The inequivalent atoms are Cs at (0.0000, 0.0000, 0.0000), Cs at (0.0774, 0.5000, 0.4220), Cs at (0.1901, 0.5000, 0.8708), Cs at (0.2321, 0.5000, 0.2553), K at (0.0000, 0.5000, 0.0000), Rb at (0.0480, 0.0000, 0.6934) and Rb at (0.1787, 0.0000, 0.3642).

The value obtained for the formation energy is 0.4 eV per formula unit. Its crystal system is monoclinic. Its size of the total moment is 0.000 μB per atom. The calculation puts the volume at 107.281 Å³ per atom.

(3)
The following is a DFT calculation (PBE) of a relaxed Cs4KRb2 crystal.

It has space group R-3m (No. 166, hexagonal axes), with a = 8.2753 Å, b = 8.2753 Å, c = 35.5013 Å, α = 90.00°, β = 90.00° and γ = 120.00°. The inequivalent atoms are Cs at (0.0000, 0.0000, 0.0708), Cs at (0.0000, 0.0000, 0.2146), K at (0.0000, 0.0000, 0.5000) and Rb at (0.0000, 0.0000, 0.3597).

The value obtained for the formation energy is 0.0 eV per formula unit. Its crystal system is trigonal. Its size of the total moment is 0.000 μB per atom. The calculation puts the volume at 100.259 Å³ per atom.

(4)
The following is a DFT calculation (PBE) of a relaxed Cs7K6Rb crystal.

It has space group R3 (No. 146, hexagonal axes), with a = 13.4817 Å, b = 13.4817 Å, c = 25.0902 Å, α = 90.00°, β = 90.00° and γ = 120.00°. The inequivalent atoms are Cs at (0.0000, 0.0000, 0.0000), Cs at (0.0402, 0.2478, 0.1774), Cs at (0.1297, 0.7040, 0.0125), K at (0.0522, 0.2273, 0.6796), K at (0.1532, 0.7179, 0.5058) and Rb at (0.0000, 0.0000, 0.5225).

The value obtained for the formation energy is 0.1 eV per formula unit. Its crystal system is trigonal. Its size of the total moment is 0.000 μB per atom. The calculation puts the volume at 94.032 Å³ per atom.

(5)
The following is a DFT calculation (PBE) of a relaxed Cs2K8Rb3 crystal.

It has space group P2/m (No. 10), with a = 12.0641 Å, b = 5.0945 Å, c = 17.6471 Å, α = 90.00°, β = 95.89° and γ = 90.00°. The inequivalent atoms are Cs at (0.1976, 0.0000, 0.4485), K at (0.1100, 0.5000, 0.2137), K at (0.1837, 0.0000, 0.7182), K at (0.4037, 0.0000, 0.1621), K at (0.4748, 0.5000, 0.6319), Rb at (0.0000, 0.0000, 0.0000) and Rb at (0.3107, 0.5000, 0.9338).

The value obtained for the formation energy is 0.2 eV per formula unit. Its crystal system is monoclinic. Its size of the total moment is 0.000 μB per atom. The calculation puts the volume at 82.991 Å³ per atom.

(6)
The following is a DFT calculation (PBE) of a relaxed CsK6Rb6 crystal.

It has space group Immm (No. 71), with a = 8.8754 Å, b = 15.7379 Å, c = 16.0391 Å, α = 90.00°, β = 90.00° and γ = 90.00°. The inequivalent atoms are Cs at (0.0000, 0.0000, 0.0000), K at (0.0000, 0.5000, 0.2737), K at (0.2500, 0.2500, 0.2500), Rb at (0.0000, 0.0000, 0.3527), Rb at (0.0000, 0.3082, 0.5000) and Rb at (0.0000, 0.3496, 0.0000).

The value obtained for the formation energy is 0.2 eV per formula unit. Its crystal system is orthorhombic. Its size of the total moment is 0.000 μB per atom. The calculation puts the volume at 86.167 Å³ per atom.

(7)
The following is a DFT calculation (PBE) of a relaxed Cs7K2Rb crystal.

It has space group P3m1 (No. 156), with a = 8.2669 Å, b = 8.2669 Å, c = 18.2980 Å, α = 90.00°, β = 90.00° and γ = 120.00°. The inequivalent atoms are Cs at (0.0000, 0.0000, 0.0000), Cs at (0.0000, 0.0000, 0.2571), Cs at (0.0000, 0.0000, 0.5208), Cs at (0.3333, 0.6667, 0.0581), Cs at (0.3333, 0.6667, 0.6739), Cs at (0.6667, 0.3333, 0.4560), Cs at (0.6667, 0.3333, 0.8498), K at (0.0000, 0.0000, 0.7606), K at (0.6667, 0.3333, 0.1624) and Rb at (0.3333, 0.6667, 0.3496).

The value obtained for the formation energy is 0.4 eV per formula unit. Its crystal system is trigonal. Its size of the total moment is 0.000 μB per atom. The calculation puts the volume at 108.297 Å³ per atom.

(8)
The following is a DFT calculation (PBE) of a relaxed Cs5KRb6 crystal.

It has space group C2/m (No. 12), with a = 8.1661 Å, b = 24.5897 Å, c = 11.7797 Å, α = 90.00°, β = 90.24° and γ = 90.00°. The inequivalent atoms are Cs at (0.0000, 0.0000, 0.0000), Cs at (0.0000, 0.3305, 0.0000), Cs at (0.0000, 0.3323, 0.5000), K at (0.0000, 0.0000, 0.5000), Rb at (0.0000, 0.1600, 0.2587) and Rb at (0.0000, 0.5000, 0.2633).

The value obtained for the formation energy is 0.1 eV per formula unit. Its crystal system is monoclinic. Its size of the total moment is 0.000 μB per atom. The calculation puts the volume at 98.556 Å³ per atom.

> What is the size of the total moment in the eighth record?

0.000 μB per atom